Record 1
First-principles (GGA-PBE) data for a relaxed LaYTm crystal, as listed in Alexandria via LeMat-Bulk.

Computed properties:
Uncorrected energy (eV/cell): -15.8
Offset from the most stable computed form (kJ per mole of atoms): 0.0

a b c (Å): 3.613 3.613 8.045
angles (deg): 102.98 102.98 90.00
Fractional positions:
Y: 0.004 0.004 0.008
Tm: 0.664 0.664 0.329
La: 0.332 0.332 0.663

Record 2
First-principles (GGA-PBE) data for a relaxed CrCdSe2 crystal, as listed in Alexandria via LeMat-Bulk.

Computed properties:
Uncorrected energy (eV/cell): -17.4
E_form (uncorrected) (eV/atom): 0.028

a b c (Å): 3.173 3.173 8.683
angles (deg): 90.00 90.00 90.00
Last column: magnetic moment on the atom in μB.
Fractional positions:
Se: 0.000 0.000 0.911  -0.22
Se: 0.500 0.500 0.296  -0.03
Cd: 0.000 0.000 0.520  -0.06
Cr: 0.500 0.500 0.773  3.10

Record 3
First-principles (GGA-PBE) data for a relaxed Ta2BeNi crystal, as listed in Alexandria via LeMat-Bulk.

Computed properties:
Uncorrected energy (eV/cell): -33.1

a b c (Å): 5.023 5.023 5.023
angles (deg): 137.61 137.61 61.50
Fractional positions:
Be: 0.500 0.500 0.000
Ni: 0.750 0.250 0.500
Ta: 0.250 0.750 0.500
Ta: 0.000 0.000 0.000

Record 4
First-principles (GGA-PBE) data for a relaxed Mg5In2IrPt2 crystal, as listed in Alexandria via LeMat-Bulk.

Computed properties:
Uncorrected energy (eV/cell): -78.0

a b c (Å): 3.081 11.268 11.268
angles (deg): 90.00 90.00 90.00
Fractional positions:
In: 0.000 0.319 0.819
In: 0.000 0.681 0.181
In: 0.000 0.819 0.681
In: 0.000 0.181 0.319
Mg: 0.500 0.689 0.450
Mg: 0.500 0.311 0.550
Mg: 0.500 0.550 0.689
Mg: 0.500 0.950 0.189
Mg: 0.500 0.500 0.000
Mg: 0.500 0.811 0.950
Mg: 0.500 0.189 0.050
Mg: 0.500 0.450 0.311
Mg: 0.500 0.050 0.811
Mg: 0.500 0.000 0.500
Pt: 0.000 0.137 0.637
Pt: 0.000 0.637 0.863
Pt: 0.000 0.863 0.363
Pt: 0.000 0.363 0.137
Ir: 0.000 0.000 0.000
Ir: 0.000 0.500 0.500

Record 5
First-principles (GGA-PBE) data for a relaxed LiCa4Pd2 crystal, as listed in Alexandria via LeMat-Bulk.

Computed properties:
Uncorrected energy (eV/cell): -46.3
Offset from the most stable computed form (kJ per mole of atoms): 0.0

a b c (Å): 7.424 7.425 8.127
angles (deg): 105.80 105.80 72.01
Fractional positions:
Ca: 0.168 0.639 0.480
Ca: 0.133 0.133 0.344
Ca: 0.639 0.168 0.480
Ca: 0.163 0.623 0.973
Ca: 0.606 0.606 0.343
Ca: 0.624 0.163 0.973
Ca: 0.605 0.605 0.816
Ca: 0.131 0.131 0.839
Pd: 0.929 0.439 0.619
Pd: 0.339 0.339 0.695
Pd: 0.337 0.337 0.197
Pd: 0.439 0.929 0.619
Li: 0.819 0.819 0.689
Li: 0.819 0.819 0.185

Record 6
First-principles (GGA-PBE) data for a relaxed K7Rb2Au2 crystal, as listed in Alexandria via LeMat-Bulk.

Computed properties:
Uncorrected energy (eV/cell): -17.0

a b c (Å): 8.125 8.125 11.393
angles (deg): 90.00 90.00 76.42
Fractional positions:
Rb: 0.233 0.767 0.500
Rb: 0.767 0.233 0.500
Au: 0.724 0.724 0.000
Au: 0.276 0.276 0.000
K: 0.000 0.500 0.807
K: 0.500 0.000 0.193
K: 0.500 0.500 0.164
K: 0.000 0.000 0.000
K: 0.500 0.000 0.807
K: 0.500 0.500 0.836
K: 0.000 0.500 0.193

Record 7
First-principles (GGA-PBE) data for a relaxed Li2CoCl crystal, as listed in Alexandria via LeMat-Bulk.

Computed properties:
Uncorrected energy (eV/cell): -13.1
Offset from the most stable computed form (kJ per mole of atoms): 27.7
E_form (uncorrected) (eV/atom): -0.068

a b c (Å): 6.039 6.039 6.039
angles (deg): 146.22 146.22 48.53
Last column: magnetic moment on the atom in μB.
Fractional positions:
Li: 0.000 0.000 0.000  -0.01
Li: 0.250 0.750 0.500  -0.03
Cl: 0.500 0.500 0.000  0.04
Co: 0.750 0.250 0.500  1.89

Record 8
First-principles (GGA-PBE) data for a relaxed In2HAu crystal, as listed in Alexandria via LeMat-Bulk.

Computed properties:
Uncorrected energy (eV/cell): -22.7
Offset from the most stable computed form (kJ per mole of atoms): 0.0

a b c (Å): 5.166 5.166 7.563
angles (deg): 70.03 70.03 90.00
Fractional positions:
In: 0.875 0.784 0.750
In: 0.216 0.625 0.250
In: 0.534 0.125 0.250
In: 0.375 0.466 0.750
Au: 0.000 0.000 0.000
Au: 0.750 0.250 0.500
H: 0.500 0.500 0.000
H: 0.250 0.750 0.500

Record 9
First-principles (GGA-PBE) data for a relaxed KBaIr2 crystal, as listed in Alexandria via LeMat-Bulk.

Computed properties:
Uncorrected energy (eV/cell): -34.3
Offset from the most stable computed form (kJ per mole of atoms): 79.8

a b c (Å): 8.749 8.749 6.764
angles (deg): 49.70 49.70 90.00
Fractional positions:
Ir: 0.375 0.376 0.750
Ir: 0.624 0.125 0.250
Ir: 0.875 0.874 0.750
Ir: 0.126 0.625 0.250
Ba: 0.000 0.000 0.000
Ba: 0.750 0.250 0.500
K: 0.500 0.500 0.000
K: 0.250 0.750 0.500

Record 10
First-principles (GGA-PBE) data for a relaxed NaAlSbTe crystal, as listed in Alexandria via LeMat-Bulk.

Computed properties:
Uncorrected energy (eV/cell): -13.7
Offset from the most stable computed form (kJ per mole of atoms): 2.0
E_form (uncorrected) (eV/atom): -0.356

a b c (Å): 3.815 4.208 8.029
angles (deg): 75.26 77.21 89.87
Fractional positions:
Na: 0.699 0.619 0.473
Al: 0.934 0.359 0.989
Sb: 0.042 0.967 0.765
Te: 0.323 0.240 0.229

Record 11
First-principles (GGA-PBE) data for a relaxed ThGa4 crystal, as listed in Alexandria via LeMat-Bulk.

Computed properties:
Uncorrected energy (eV/cell): -77.9
Offset from the most stable computed form (kJ per mole of atoms): 41.0

a b c (Å): 5.435 9.248 9.248
angles (deg): 90.00 90.00 90.00
Fractional positions:
Th: 0.000 0.146 0.646
Th: 0.000 0.646 0.854
Th: 0.000 0.354 0.146
Th: 0.000 0.854 0.354
Ga: 0.215 0.000 0.000
Ga: 0.500 0.608 0.697
Ga: 0.500 0.100 0.400
Ga: 0.500 0.900 0.600
Ga: 0.500 0.392 0.303
Ga: 0.215 0.500 0.500
Ga: 0.500 0.697 0.392
Ga: 0.500 0.803 0.892
Ga: 0.500 0.892 0.197
Ga: 0.500 0.600 0.100
Ga: 0.500 0.400 0.900
Ga: 0.785 0.500 0.500
Ga: 0.500 0.303 0.608
Ga: 0.500 0.108 0.803
Ga: 0.500 0.197 0.108
Ga: 0.785 0.000 0.000

Record 12
First-principles (GGA-PBE) data for a relaxed TbDy5Pt6 crystal, as listed in Alexandria via LeMat-Bulk.

Computed properties:
Uncorrected energy (eV/cell): -78.5

a b c (Å): 4.967 6.934 8.570
angles (deg): 66.14 73.33 90.00
Fractional positions:
Tb: 0.000 0.000 0.000
Pt: 0.167 0.917 0.665
Pt: 0.500 0.749 0.000
Pt: 0.833 0.083 0.335
Pt: 0.167 0.418 0.665
Pt: 0.500 0.251 0.000
Pt: 0.833 0.582 0.335
Dy: 0.333 0.333 0.333
Dy: 0.667 0.667 0.667
Dy: 0.667 0.167 0.667
Dy: 0.333 0.833 0.333
Dy: 0.000 0.500 0.000

Record 13
First-principles (GGA-PBE) data for a relaxed TbPmSc2 crystal, as listed in Alexandria via LeMat-Bulk.

Computed properties:
Uncorrected energy (eV/cell): -21.8
Offset from the most stable computed form (kJ per mole of atoms): 0.0

a b c (Å): 3.528 3.528 9.172
angles (deg): 90.00 90.00 90.00
Fractional positions:
Pm: 0.500 0.500 0.000
Tb: 0.500 0.500 0.500
Sc: 0.000 0.000 0.747
Sc: 0.000 0.000 0.253

Record 14
First-principles (GGA-PBE) data for a relaxed La4Tb2Pm3 crystal, as listed in Alexandria via LeMat-Bulk.

Computed properties:
Uncorrected energy (eV/cell): -42.4
Offset from the most stable computed form (kJ per mole of atoms): 1.8

a b c (Å): 3.723 6.795 14.904
angles (deg): 64.23 90.00 105.90
Fractional positions:
Pm: 0.382 0.763 0.615
Pm: 0.618 0.237 0.385
Pm: 0.000 0.000 0.000
Tb: 0.657 0.315 0.790
Tb: 0.343 0.685 0.210
La: 0.652 0.304 0.128
La: 0.348 0.696 0.872
La: 0.112 0.224 0.605
La: 0.888 0.776 0.395

Record 15
First-principles (GGA-PBE) data for a relaxed Hf4PdPt crystal, as listed in Alexandria via LeMat-Bulk.

Computed properties:
Uncorrected energy (eV/cell): -55.0
Offset from the most stable computed form (kJ per mole of atoms): 0.0

a b c (Å): 3.305 3.305 10.713
angles (deg): 90.00 90.00 90.00
Fractional positions:
Pt: 0.500 0.500 0.500
Hf: 0.500 0.500 0.159
Hf: 0.000 0.000 0.344
Hf: 0.000 0.000 0.656
Hf: 0.500 0.500 0.841
Pd: 0.000 0.000 0.000

Record 16
First-principles (GGA-PBE) data for a relaxed PaZnS crystal, as listed in Alexandria via LeMat-Bulk.

Computed properties:
Uncorrected energy (eV/cell): -34.2
E_form (uncorrected) (eV/atom): -0.730

a b c (Å): 3.511 3.511 9.792
angles (deg): 90.00 90.00 90.00
Last column: magnetic moment on the atom in μB.
Fractional positions:
S: 0.000 0.500 0.902  -0.01
S: 0.500 0.000 0.098  -0.01
Zn: 0.000 0.500 0.562  0.00
Zn: 0.500 0.000 0.438  0.00
Pa: 0.000 0.500 0.218  0.61
Pa: 0.500 0.000 0.782  0.61

Record 17
First-principles (GGA-PBE) data for a relaxed ZnTc2Hg crystal, as listed in Alexandria via LeMat-Bulk.

Computed properties:
Uncorrected energy (eV/cell): -19.7
Offset from the most stable computed form (kJ per mole of atoms): 50.1

a b c (Å): 4.480 4.480 3.161
angles (deg): 90.00 90.00 90.00
Fractional positions:
Hg: 0.000 0.500 0.500
Tc: 0.500 0.500 0.000
Tc: 0.000 0.000 0.000
Zn: 0.500 0.000 0.500

Record 18
First-principles (GGA-PBE) data for a relaxed NdOsC crystal, as listed in Alexandria via LeMat-Bulk.

Computed properties:
Uncorrected energy (eV/cell): -25.0
Offset from the most stable computed form (kJ per mole of atoms): 6.3

a b c (Å): 4.850 3.491 3.491
angles (deg): 120.00 90.00 90.00
Fractional positions:
Os: 0.166 0.000 0.000
C: 0.168 0.333 0.667
Nd: 0.666 0.667 0.333

Record 19
First-principles (GGA-PBE) data for a relaxed Tb2NdSm crystal, as listed in Alexandria via LeMat-Bulk.

Computed properties:
Uncorrected energy (eV/cell): -37.4
Offset from the most stable computed form (kJ per mole of atoms): 0.2

a b c (Å): 5.078 7.225 7.224
angles (deg): 90.00 90.00 90.00
Fractional positions:
Sm: 0.000 0.750 0.000
Sm: 0.000 0.250 0.000
Nd: 0.000 0.750 0.500
Nd: 0.000 0.250 0.500
Tb: 0.500 0.000 0.249
Tb: 0.500 0.500 0.249
Tb: 0.500 0.500 0.751
Tb: 0.500 0.000 0.751

Record 20
First-principles (GGA-PBE) data for a relaxed CsK2SrCu crystal, as listed in Alexandria via LeMat-Bulk.

Computed properties:
Uncorrected energy (eV/cell): -7.8

a b c (Å): 6.877 6.877 6.200
angles (deg): 90.00 90.00 90.00
Fractional positions:
K: 0.000 0.500 0.000
K: 0.500 0.000 0.000
Cs: 0.500 0.500 0.500
Cu: 0.000 0.000 0.000
Sr: 0.000 0.000 0.500

Magnetic moment for the records above, in order: 0.00; 2.97; 0.00; 0.00; 0.00; 0.00; 1.87; 0.00; 0.00; 0.00; 0.00; 0.00; 0.00; 0.00; 0.00; 1.49; 0.00; 0.00; 0.00; 0.00 μB/cell